VASP calculation (GGA-PBE) on an optimized crystal structure of KErHg2Cl8.

Summary:
- E (eV per atom) = -3.11
- ΔE_f (raw) (meV/atom) = -1360

a b c (Å): 6.6671 6.7541 8.8816
angles (deg): 82.19 75.07 87.81
With the nearest neighbours (Å) after each atom.
Space group P-1 (No. 2)
Inequivalent atoms, fractional coordinates:
K  0.0000  0.0000  0.0000  6 Cl 3.10-3.21
Er  0.0000  0.0000  0.5000  6 Cl 2.58-2.75
Hg  0.4668  0.4760  0.2374  2 Cl 2.39-2.40
Cl  0.1992  0.8193  0.6924  1 Er 2.58
Cl  0.2381  0.3302  0.4793  1 Hg 2.40
Cl  0.2516  0.8633  0.2597  1 Er 2.61
Cl  0.2685  0.3907  0.9857  1 Hg 2.39

---

VASP calculation (GGA-PBE) on an optimized crystal structure of LiErHgCl6.

Summary:
- E (eV per atom) = -3.55
- ΔE_f (raw) (meV/atom) = -1564

a b c (Å): 6.6735 6.6735 12.0601
angles (deg): 90.00 90.00 120.00
With the nearest neighbours (Å) after each atom.
Space group P-31c (No. 163)
Inequivalent atoms, fractional coordinates:
Li  0.0000  0.0000  0.0000  6 Cl 2.71
Er  0.3333  0.6667  0.2500  6 Cl 2.64
Hg  0.3333  0.6667  0.7500  6 Cl 2.72
Cl  0.0102  0.3417  0.1252  1 Er 2.64, 1 Li 2.71, 1 Hg 2.72

---

VASP calculation (GGA-PBE) on an optimized crystal structure of ErTlHg2Cl8.

Summary:
- E (eV per atom) = -3.06
- ΔE_f (raw) (meV/atom) = -1199

a b c (Å): 6.7399 6.7768 8.9893
angles (deg): 73.43 82.00 87.14
With the nearest neighbours (Å) after each atom.
Space group P-1 (No. 2)
Inequivalent atoms, fractional coordinates:
Er  0.0000  0.0000  0.0000  6 Cl 2.58-2.74
Tl  0.0000  0.0000  0.5000  6 Cl 3.17-3.30
Hg  0.4744  0.4617  0.7351  2 Cl 2.38-2.40
Cl  0.1343  0.7450  0.2428  1 Er 2.61
Cl  0.1843  0.8012  0.8153  1 Er 2.58
Cl  0.3289  0.2338  0.9779  1 Hg 2.40
Cl  0.4015  0.2668  0.4875  1 Hg 2.38

---

VASP calculation (GGA-PBE) on an optimized crystal structure of HoErCl6.

Summary:
- E (eV per atom) = -4.78
- ΔE_f (raw) (meV/atom) = -2249

a b c (Å): 6.7099 6.7099 18.1575
angles (deg): 90.00 90.00 120.00
With the nearest neighbours (Å) after each atom.
Space group R-3 (No. 148, hexagonal axes)
Inequivalent atoms, fractional coordinates:
Ho  0.0000  0.0000  0.0000  6 Cl 2.65
Er  0.0000  0.0000  0.5000  6 Cl 2.63
Cl  0.0010  0.3573  0.2498  1 Er 2.63, 1 Ho 2.65